AlCd2Pb after structural relaxation, computed with PBE-GGA.

Computed properties:
- E_form (eV per atom) = 0.19
- SG = Pmmm

```
AlCd2Pb
1.0
3.502 0.000 0.000
0.000 5.128 0.000
0.000 0.000 5.471
Cd Pb Al
2 1 1
Cartesian
0.000 0.000 0.000
1.751 2.564 0.000
1.751 0.000 2.736
0.000 2.564 2.736
```